A relaxed InBSe crystal. Source: the Alexandria database, functional PBE.

Summary:
SG = No. 71

abc: 4.2078 5.2777 8.0980
angles: 109.02 105.06 90.00
Sites, in units of the cell vectors:
Se: 0.8931 0.3931 0.7862
Se: 0.1069 0.6069 0.2138
B: 0.6911 0.5000 0.0000
B: 0.3089 0.5000 0.0000
In: 0.3861 0.8861 0.7721
In: 0.6139 0.1139 0.2279

***

A relaxed YAlSe2Cl crystal. Source: the Alexandria database, functional PBE.

Summary:
SG = No. 123

abc: 5.0332 4.5470 5.0332
angles: 90.00 90.00 90.00
Sites, in units of the cell vectors:
Y: 0.5000 0.5000 0.5000
Se: 0.0000 0.0000 0.5000
Se: 0.5000 0.0000 0.0000
Cl: 0.0000 0.5000 0.0000
Al: 0.0000 0.0000 0.0000

***

A relaxed RbZnCl3 crystal. Source: the Alexandria database, functional PBE.

Summary:
SG = No. 1

abc: 5.9985 7.1655 8.7185
angles: 64.69 90.45 90.91
Sites, in units of the cell vectors:
Rb: 0.9679 0.7252 0.9913
Rb: 0.4727 0.4967 0.5775
Cl: 0.9759 0.7036 0.6096
Cl: 0.9652 0.1992 0.6491
Cl: 0.4832 0.8543 0.1470
Cl: 0.4599 0.4606 0.9702
Cl: 0.4408 0.0943 0.4486
Cl: 0.9393 0.1895 0.1999
Zn: 0.5457 0.1498 0.1723
Zn: 0.0496 0.0442 0.4809

***

Taking the records one at a time from the top gives E_form (uncorrected) values of 0.12, -0.90, -1.52 eV/atom.
Taking the records one at a time from the top gives calculated total energy values of -4.176, -4.709, -3.072 eV per atom.